This record from OQMD describes a geometry-optimized CoGeO3 structure. The functional is PBE with a Hubbard U.

## Properties
As for the volume: 51 Å³/cell. The raw total energy is -5.37 eV per atom. The magnetic moment is 2.7 μB/f.u.

a = 3.713 Å, b = 3.713 Å, c = 3.713 Å
α = 90.00°, β = 90.00°, γ = 90.00°
Each line ends with the local moment (μB).
Positions (direct):
Co: 0.500 0.500 0.500  2.03
Ge: 0.000 0.000 0.000  0.05
O: 0.500 0.500 0.000  0.06
O: 0.500 0.000 0.500  0.11
O: 0.000 0.500 0.500  0.28